Ac2NdCu9 | PBE | relaxed

Cell: 5.3336 5.3336 9.2761 Å, 73.29 73.29 60.00°
With the nearest neighbours (Å) after each atom.
Element x y z (fractional)
Cu: 0.3316 0.3316 0.0051  6 Cu 2.52-2.55
Cu: 0.4266 0.4266 0.2300  7 Cu 2.52-2.80
Cu: 0.5000 0.5000 0.5000  6 Cu 2.80
Ac: 0.1376 0.1376 0.5873  9 Cu 3.11-3.17, 3 Ac 3.44
Cu: 0.4266 0.9169 0.2300  7 Cu 2.52-2.80
Cu: 0.9169 0.4266 0.2300  7 Cu 2.52-2.80
Nd: 0.0000 0.0000 0.0000  18 Cu 3.08-3.34
Cu: 0.5734 0.0831 0.7700  7 Cu 2.52-2.80
Cu: 0.6684 0.6684 0.9949  6 Cu 2.52-2.55
Ac: 0.8624 0.8624 0.4127  9 Cu 3.11-3.17, 3 Ac 3.44
Cu: 0.0831 0.5734 0.7700  7 Cu 2.52-2.80
Cu: 0.5734 0.5734 0.7700  7 Cu 2.52-2.80

The value obtained for the formation energy is -0.07 eV/atom.



TbSmBi | PBE | relaxed

Cell: 4.0640 5.2373 5.2373 Å, 120.00 90.00 90.00°
With the nearest neighbours (Å) after each atom.
Element x y z (fractional)
Sm: 0.7112 0.3333 0.6667  3 Bi 3.32, 6 Tb 3.58-3.71
Tb: 0.2418 0.6667 0.3333  3 Bi 3.13
Bi: 0.0471 0.0000 0.0000  3 Tb 3.13, 3 Sm 3.32

The value obtained for the formation energy is -0.28 eV/atom.



Ba2MgPtO4 | PBE | relaxed

Cell: 5.7216 6.8706 10.1807 Å, 83.28 73.68 65.39°
With the nearest neighbours (Å) after each atom.
Element x y z (fractional)
Mg: 0.0000 0.0000 0.0000  4 O 1.97
Ba: 0.8216 0.0000 0.3568  2 O 2.42
O: 0.1152 0.2768 0.4701  1 Mg 1.97, 1 Pt 2.07
Ba: 0.9284 0.5000 0.1432  2 O 2.42
O: 0.1420 0.2232 0.9701  1 Mg 1.97, 1 Pt 2.07
Ba: 0.5716 0.5000 0.8568  2 O 2.42
O: 0.8880 0.7768 0.9701  1 Mg 1.97, 1 Pt 2.07
O: 0.8620 0.7232 0.5299  1 Mg 1.97, 1 Pt 2.07
Mg: 0.7500 0.5000 0.5000  4 O 1.97
O: 0.6080 0.2768 0.5299  1 Mg 1.97, 1 Pt 2.07
Pt: 0.2500 0.5000 0.5000  4 O 2.07
Ba: 0.1784 0.0000 0.6432  2 O 2.42
O: 0.3353 0.7768 0.0299  1 Mg 1.97, 1 Pt 2.07
Pt: 0.5000 0.0000 0.0000  4 O 2.07
O: 0.6348 0.2232 0.0299  1 Mg 1.97, 1 Pt 2.07
O: 0.4147 0.7232 0.4701  1 Mg 1.97, 1 Pt 2.07

The uncorrected formation energy comes out at -1.678 eV per atom.



SrHS2 | PBE | relaxed

Cell: 7.6964 5.2482 8.4052 Å, 90.00 90.00 89.67°
With the nearest neighbours (Å) after each atom.
Element x y z (fractional)
S: 0.6099 0.7501 0.8975  1 H 1.35
S: 0.0770 0.4947 0.7561  2 S 2.63
H: 0.5137 0.2434 0.2169  1 S 1.35
S: 0.3901 0.2499 0.1025  1 H 1.35
H: 0.5137 0.7435 0.2831  1 S 1.35
S: 0.9230 0.0053 0.2561  2 S 2.63
S: 0.9230 0.5053 0.2439  2 S 2.63
H: 0.4863 0.2566 0.7169  1 S 1.35
H: 0.4863 0.7565 0.7831  1 S 1.35
Sr: 0.2281 0.2509 0.4436  2 H 2.91-3.04, 8 S 2.93-3.23
S: 0.6099 0.2501 0.6025  1 H 1.35
S: 0.3901 0.7499 0.3975  1 H 1.35
Sr: 0.7719 0.2491 0.9436  2 H 2.91-3.04, 8 S 2.93-3.23
Sr: 0.2281 0.7509 0.0564  2 H 2.91-3.04, 8 S 2.93-3.23
S: 0.0770 0.9947 0.7439  2 S 2.63
Sr: 0.7719 0.7491 0.5564  2 H 2.91-3.04, 8 S 2.93-3.23

The calculation puts the energy above the lowest structure with this stoichiometry at 0 meV/atom.



KRbCr2 | PBE | relaxed

Cell: 5.6947 5.6947 13.1511 Å, 77.50 77.50 90.00°
With the nearest neighbours (Å) after each atom.
Element x y z (fractional)
Cr: 0.8750 0.1250 0.2500  2 Cr 2.85
Cr: 0.3750 0.1250 0.7500  2 Cr 2.85
Cr: 0.8750 0.1250 0.7500  2 Cr 2.85
Rb: 0.7500 0.2500 0.5000  4 Cr 3.44
K: 0.5000 0.5000 0.0000  4 Rb 4.03, 8 Cr 4.46
Cr: 0.8750 0.6250 0.2500  2 Cr 2.85
K: 0.2500 0.7500 0.5000  4 Rb 4.03, 8 Cr 4.46
Rb: 0.0000 0.0000 0.0000  4 Cr 3.44

The value obtained for the formation energy is 1.40 eV/atom. The calculation puts the energy above the lowest structure with this stoichiometry at 103 meV/atom.



La3Rh5 | PBE | relaxed

Cell: 8.6621 9.3976 7.1694 Å, 97.03 100.68 139.19°
With the nearest neighbours (Å) after each atom.
Element x y z (fractional)
Rh: 0.2766 0.6665 0.4253  7 Rh 2.72-2.95, 2 La 2.83-2.92
Rh: 0.2220 0.8660 0.2217  6 Rh 2.76-3.00, 2 La 2.91-2.95
La: 0.7958 0.7493 0.0138  1 Rh 2.59
Rh: 0.0015 0.2067 0.2920  1 La 2.63, 4 Rh 2.72-2.80
Rh: 0.8902 0.6926 0.4212  2 La 2.69-2.96, 3 Rh 2.72-2.95
Rh: 0.4689 0.8003 0.1222  6 Rh 2.71-3.02, 2 La 2.81-2.85
La: 0.7484 0.8555 0.5199  3 Rh 2.69-2.83
La: 0.1799 0.3345 0.0086  4 Rh 2.63-2.81
Rh: 0.1463 0.9792 0.8702  1 La 2.59, 1 Rh 2.71
La: 0.3958 0.2719 0.4755  1 Rh 2.63
Rh: 0.7317 0.1377 0.5096  7 Rh 2.70-2.96, 2 La 2.77-2.79
La: 0.0516 0.5977 0.7685  5 Rh 2.79-3.11
Rh: 0.6431 0.9853 0.8420  5 Rh 2.71-2.86, 2 La 2.77-2.95
Rh: 0.4141 0.0547 0.6561  1 La 2.63, 6 Rh 2.70-2.95
Rh: 0.3028 0.5049 0.7031  5 Rh 2.72-3.02, 3 La 2.76-2.98
La: 0.7246 0.2971 0.1502  8 Rh 2.92-3.20

The value obtained for the formation energy is -0.52 eV/atom. The calculation puts the energy above the lowest structure with this stoichiometry at 2 meV/atom.



PuGaTcRh | PBE | relaxed

Cell: 4.5600 4.5600 4.5600 Å, 60.00 60.00 60.00°
With the nearest neighbours (Å) after each atom.
Element x y z (fractional)
Pu: 0.7500 0.7500 0.7500  4 Tc 2.79, 4 Rh 2.79
Tc: 0.5000 0.5000 0.5000  4 Pu 2.79, 4 Ga 2.79
Ga: 0.2500 0.2500 0.2500  4 Tc 2.79, 4 Rh 2.79
Rh: 0.0000 0.0000 0.0000  4 Ga 2.79, 4 Pu 2.79

The value obtained for the formation energy is -0.37 eV/atom.



TbCeTh2Se4 | PBE | relaxed

Cell: 4.1549 7.1353 7.3338 Å, 109.12 90.00 90.00°
With the nearest neighbours (Å) after each atom.
Element x y z (fractional)
Se: 0.5000 0.2519 0.2427  1 Tb 2.89, 2 Ce 2.94, 3 Th 2.97-3.00
Th: 0.5000 0.0000 0.5000  6 Se 3.00-3.01
Se: 0.0000 0.7426 0.2398  2 Tb 2.90, 1 Ce 2.93, 3 Th 2.97-3.01
Ce: 0.0000 0.0000 0.0000  6 Se 2.93-2.94
Tb: 0.5000 0.5000 0.0000  6 Se 2.89-2.90
Th: 0.0000 0.5000 0.5000  6 Se 2.97
Se: 0.5000 0.7481 0.7573  1 Tb 2.89, 2 Ce 2.94, 3 Th 2.97-3.00
Se: 0.0000 0.2574 0.7602  2 Tb 2.90, 1 Ce 2.93, 3 Th 2.97-3.01

The uncorrected formation energy comes out at -1.669 eV per atom.



TlIn2Hg | PBE | relaxed

Cell: 10.1919 10.1919 10.1919 Å, 20.31 20.31 20.31°
With the nearest neighbours (Å) after each atom.
Element x y z (fractional)
In: 0.0049 0.0049 0.0049  3 Hg 3.13, 3 Tl 3.36
In: 0.4951 0.4951 0.4951  3 Hg 3.13, 3 Tl 3.36
Hg: 0.7500 0.7500 0.7500  6 In 3.13
Tl: 0.2500 0.2500 0.2500  6 In 3.36, 6 Tl 3.59

The value obtained for the formation energy is 0.02 eV/atom.



LiMn2CrBr | PBE | relaxed

Cell: 4.4266 5.7816 4.4266 Å, 90.00 90.00 90.00°
With the nearest neighbours (Å) after each atom.
Element x y z (fractional)
Li: 0.0000 0.5000 0.0000  2 Cr 2.89, 4 Br 3.13
Cr: 0.0000 0.0000 0.0000  4 Mn 2.21
Mn: 0.0000 0.0000 0.5000  2 Cr 2.21
Mn: 0.5000 0.0000 0.0000  2 Cr 2.21
Br: 0.5000 0.5000 0.5000  4 Li 3.13

The uncorrected formation energy comes out at 0.727 eV per atom. The calculation puts the energy above the lowest structure with this stoichiometry at 0 meV/atom.



Co2AsRh | PBE | relaxed

Cell: 4.4519 4.4519 4.4519 Å, 131.33 129.26 72.94°
With the nearest neighbours (Å) after each atom.
Element x y z (fractional)
Co: 0.7505 0.2505 0.5000  4 Co 2.57-2.61, 4 Rh 2.58-2.60, 4 As 2.65
Rh: 0.4929 0.4929 0.0000  4 As 2.55-2.63, 8 Co 2.58-2.65
As: 0.2458 0.7458 0.5000  8 Co 2.49-2.69, 4 Rh 2.55-2.63
Co: 0.0108 0.0108 0.0000  4 As 2.49-2.69, 4 Co 2.57-2.61, 4 Rh 2.65

The value obtained for the formation energy is -0.04 eV/atom.



AcSeI | PBE | relaxed

Cell: 7.2922 4.7421 4.7421 Å, 120.00 90.00 90.00°
With the nearest neighbours (Å) after each atom.
Element x y z (fractional)
Se: 0.2112 0.3333 0.6667  3 Ac 3.01
I: 0.7502 0.6667 0.3333  3 Ac 3.45
Ac: 0.0386 0.0000 0.0000  3 Se 3.01

The uncorrected formation energy comes out at -1.734 eV per atom. The calculation puts the energy above the lowest structure with this stoichiometry at 78 meV/atom.



HOs3Pt | PBE | relaxed

Cell: 4.8436 4.8436 4.8436 Å, 90.00 90.00 90.00°
With the nearest neighbours (Å) after each atom.
Element x y z (fractional)
H: 0.5000 0.5000 0.5000  12 Os 3.42
Os: 0.0000 0.5000 0.0000  2 Pt 2.42
Os: 0.5000 0.0000 0.0000  2 Pt 2.42
Os: 0.0000 0.0000 0.5000  2 Pt 2.42
Pt: 0.0000 0.0000 0.0000  6 Os 2.42

The calculation puts the energy above the lowest structure with this stoichiometry at 2892 meV/atom.



TlP2 | PBE | relaxed

Cell: 5.9009 5.9009 5.9009 Å, 116.27 116.27 96.59°
With the nearest neighbours (Å) after each atom.
Element x y z (fractional)
P: 0.6129 0.8871 0.5000  1 P 1.99
P: 0.1129 0.6129 0.7257  1 P 1.99
Tl: 0.2500 0.2500 0.0000  8 P 3.19
Tl: 0.7500 0.7500 0.0000  8 P 3.19
P: 0.3871 0.1129 0.5000  1 P 1.99
P: 0.8871 0.3871 0.2743  1 P 1.99

The value obtained for the formation energy is 0.34 eV/atom. The calculation puts the energy above the lowest structure with this stoichiometry at 299 meV/atom.



Zn3Au | PBE | relaxed

Cell: 5.2980 5.7878 4.7882 Å, 90.45 62.22 75.34°
With the nearest neighbours (Å) after each atom.
Element x y z (fractional)
Au: 0.7393 0.6980 0.5431  11 Zn 2.73-2.93, 1 Au 2.96
Zn: 0.7500 0.9383 0.0428  9 Zn 2.70-2.91, 3 Au 2.73-2.79
Zn: 0.2424 0.8116 0.4646  8 Zn 2.70-2.83, 4 Au 2.75-2.93
Au: 0.2607 0.3020 0.4569  11 Zn 2.73-2.93, 1 Au 2.96
Zn: 0.2493 0.5595 0.9594  8 Zn 2.75-2.91, 4 Au 2.75-2.84
Zn: 0.7507 0.4405 0.0407  8 Zn 2.75-2.91, 4 Au 2.75-2.84
Zn: 0.2500 0.0617 0.9572  9 Zn 2.70-2.91, 3 Au 2.73-2.79
Zn: 0.7576 0.1884 0.5354  8 Zn 2.70-2.83, 4 Au 2.75-2.93

The value obtained for the formation energy is -0.14 eV/atom.



RbCo2BPb | PBE | relaxed

Cell: 4.9881 6.7101 4.9881 Å, 90.00 90.00 90.00°
With the nearest neighbours (Å) after each atom.
Element x y z (fractional)
Co: 0.0000 0.0000 0.5000  2 Pb 2.49
Rb: 0.0000 0.5000 0.0000  2 Pb 3.36, 4 B 3.53
B: 0.5000 0.5000 0.5000  4 Rb 3.53
Pb: 0.0000 0.0000 0.0000  4 Co 2.49
Co: 0.5000 0.0000 0.0000  2 Pb 2.49

The value obtained for the formation energy is 2.04 eV/atom.



Ag5AsBr8 | PBE | relaxed

Cell: 9.0257 9.0257 9.0257 Å, 122.44 122.44 85.83°
With the nearest neighbours (Å) after each atom.
Element x y z (fractional)
Ag: 0.6043 0.4549 0.5210  3 Br 2.61-2.84
Br: 0.6210 0.8704 0.2986  3 Ag 2.61-2.71
Br: 0.1318 0.4000 0.2259  1 As 2.55, 1 Ag 2.84
Br: 0.6776 0.3790 0.2494  3 Ag 2.61-2.71
Ag: 0.5000 0.5000 0.0000  4 Br 2.71
As: 0.2500 0.7500 0.5000  4 Br 2.55
Br: 0.6000 0.8260 0.7318  1 As 2.55, 1 Ag 2.84
Ag: 0.9167 0.3957 0.8507  3 Br 2.61-2.84
Br: 0.0941 0.8682 0.2682  1 As 2.55, 1 Ag 2.84
Ag: 0.5451 0.0660 0.1493  3 Br 2.61-2.84
Br: 0.5718 0.3224 0.7014  3 Ag 2.61-2.71
Br: 0.1296 0.4282 0.7506  3 Ag 2.61-2.71
Br: 0.1740 0.9059 0.7741  1 As 2.55, 1 Ag 2.84
Ag: 0.9340 0.0833 0.4790  3 Br 2.61-2.84

The uncorrected formation energy comes out at -0.299 eV per atom.



GaH2Au2 | PBE | relaxed

Cell: 3.7572 3.7572 5.3132 Å, 69.29 69.29 90.00°
With the nearest neighbours (Å) after each atom.
Element x y z (fractional)
Au: 0.6548 0.6548 0.6903  4 H 2.07
Au: 0.3452 0.3452 0.3097  4 H 2.07
H: 0.2500 0.7500 0.5000  4 Au 2.07
Ga: 0.0000 0.0000 0.0000  8 H 2.97, 10 Au 3.01-3.18
H: 0.7500 0.2500 0.5000  4 Au 2.07

The calculation puts the energy above the lowest structure with this stoichiometry at 113 meV/atom.



Nd4Y2Tm | PBE | relaxed

Cell: 3.6005 11.1611 12.3071 Å, 90.00 90.00 99.28°
With the nearest neighbours (Å) after each atom.
Element x y z (fractional)
Nd: 0.5000 0.0000 0.5000  4 Y 3.32, 2 Nd 3.60
Nd: 0.2626 0.5252 0.6217  1 Nd 3.16, 3 Y 3.28-3.45
Nd: 0.5000 0.0000 0.0000  4 Y 3.32, 2 Nd 3.60
Tm: 0.3978 0.7956 0.2500  4 Y 3.48, 2 Tm 3.60, 2 Nd 3.81
Nd: 0.7374 0.4748 0.3783  1 Nd 3.16, 3 Y 3.28-3.45
Nd: 0.9384 0.8769 0.7500  2 Y 3.53, 6 Nd 3.60-3.81
Nd: 0.0616 0.1231 0.2500  2 Y 3.53, 6 Nd 3.60-3.81
Y: 0.8734 0.7468 0.4877  6 Nd 3.28-3.53, 2 Tm 3.48, 2 Y 3.60
Nd: 0.7374 0.4748 0.1217  1 Nd 3.16, 3 Y 3.28-3.45
Y: 0.1266 0.2532 0.9877  6 Nd 3.28-3.53, 2 Tm 3.48, 2 Y 3.60
Nd: 0.2626 0.5252 0.8783  1 Nd 3.16, 3 Y 3.28-3.45
Y: 0.1266 0.2532 0.5123  6 Nd 3.28-3.53, 2 Tm 3.48, 2 Y 3.60
Y: 0.8734 0.7468 0.0123  6 Nd 3.28-3.53, 2 Tm 3.48, 2 Y 3.60
Tm: 0.6022 0.2044 0.7500  4 Y 3.48, 2 Tm 3.60, 2 Nd 3.81

The value obtained for the formation energy is 0.20 eV/atom. The calculation puts the energy above the lowest structure with this stoichiometry at 0 meV/atom.



Tb6Pm2DyTm | PBE | relaxed

Cell: 9.6663 8.7904 8.7904 Å, 118.12 94.40 94.40°
With the nearest neighbours (Å) after each atom.
Element x y z (fractional)
Tb: 0.1197 0.7084 0.4973  4 Tb 3.24-3.53, 3 Pm 3.25-3.44, 2 Tm 3.42-3.56
Tb: 0.6197 0.4973 0.7084  4 Tb 3.24-3.53, 3 Pm 3.25-3.44, 2 Tm 3.42-3.56
Tb: 0.6876 0.0188 0.5737  2 Tb 3.24-3.57, 1 Pm 3.39, 1 Tm 3.45, 1 Dy 3.58
Tb: 0.8803 0.2916 0.5027  4 Tb 3.24-3.53, 3 Pm 3.25-3.44, 2 Tm 3.42-3.56
Pm: 0.4574 0.8042 0.7008  5 Tb 3.25-3.51, 2 Dy 3.37-3.39, 1 Tm 3.55
Tb: 0.3803 0.5027 0.2916  4 Tb 3.24-3.53, 3 Pm 3.25-3.44, 2 Tm 3.42-3.56
Dy: 0.2500 0.9806 0.0194  4 Pm 3.37-3.39, 4 Tb 3.58-3.65
Tb: 0.4435 0.2519 0.8749  7 Tb 3.40-3.75, 1 Pm 3.51, 1 Dy 3.65, 1 Tm 3.80
Pm: 0.0426 0.2992 0.1958  5 Tb 3.25-3.51, 2 Dy 3.37-3.39, 1 Tm 3.55
Tm: 0.7500 0.5922 0.4078  8 Tb 3.42-3.80, 2 Pm 3.55
Pm: 0.9574 0.7008 0.8042  5 Tb 3.25-3.51, 2 Dy 3.37-3.39, 1 Tm 3.55
Tb: 0.5565 0.7481 0.1251  7 Tb 3.40-3.75, 1 Pm 3.51, 1 Dy 3.65, 1 Tm 3.80
Dy: 0.7500 0.0194 0.9806  4 Pm 3.37-3.39, 4 Tb 3.58-3.65
Tb: 0.0565 0.1251 0.7481  7 Tb 3.40-3.75, 1 Pm 3.51, 1 Dy 3.65, 1 Tm 3.80
Tm: 0.2500 0.4078 0.5922  8 Tb 3.42-3.80, 2 Pm 3.55
Tb: 0.1876 0.5737 0.0188  2 Tb 3.24-3.57, 1 Pm 3.39, 1 Tm 3.45, 1 Dy 3.58
Tb: 0.9435 0.8749 0.2519  7 Tb 3.40-3.75, 1 Pm 3.51, 1 Dy 3.65, 1 Tm 3.80
Tb: 0.3124 0.9812 0.4263  2 Tb 3.24-3.57, 1 Pm 3.39, 1 Tm 3.45, 1 Dy 3.58
Tb: 0.8124 0.4263 0.9812  2 Tb 3.24-3.57, 1 Pm 3.39, 1 Tm 3.45, 1 Dy 3.58
Pm: 0.5426 0.1958 0.2992  5 Tb 3.25-3.51, 2 Dy 3.37-3.39, 1 Tm 3.55

The value obtained for the formation energy is 0.12 eV/atom.



NaCu4S3 | PBE | relaxed

Cell: 3.8203 3.8203 9.0734 Å, 90.00 90.00 90.00°
With the nearest neighbours (Å) after each atom.
Element x y z (fractional)
Cu: 0.0000 0.5000 0.1699  4 S 2.31-2.45
S: 0.5000 0.5000 0.6872  4 Cu 2.31
Cu: 0.0000 0.5000 0.8301  4 S 2.31-2.45
Cu: 0.5000 0.0000 0.1699  4 S 2.31-2.45
S: 0.5000 0.5000 0.3128  4 Cu 2.31
Cu: 0.5000 0.0000 0.8301  4 S 2.31-2.45
S: 0.0000 0.0000 0.0000  8 Cu 2.45
Na: 0.0000 0.0000 0.5000  8 S 3.19, 8 Cu 3.55

The uncorrected formation energy comes out at -0.350 eV per atom.



no.,uncorrected energy (eV per atom)
1,-4.23
2,-4.69
3,-5.59
4,-4.35
5,-3.93
6,-6.96
7,-9.14
8,-6.59
9,-2.02
10,-5.58
11,-6.59
12,-4.78
13,-5.39
14,-4.06
15,-1.92
16,-3.08
17,-2.60
18,-2.94
19,-5.01
20,-4.52
21,-4.11